# 1
Nd4HgRu | GGA-PBE | optimized geometry

The structure belongs to space group F-43m (No. 216); the cell edges are 13.989, 13.989 and 13.989 Å and the angles 90.00°, 90.00° and 90.00°. The asymmetric unit holds Nd at (0.000, 0.000, 0.189), Nd at (0.059, 0.250, 0.750), Nd at (0.097, 0.097, 0.403), Hg at (0.167, 0.167, 0.167) and Ru at (0.112, 0.112, 0.612).

The value obtained for the offset from the most stable computed form is 0.0 meV per atom. As for the formation energy: -0.31 eV/atom.

# 2
MnBeH3 | GGA-PBE | optimized geometry

The structure belongs to space group Pm-3m (No. 221); the cell edges are 2.955, 2.955 and 2.955 Å and the angles 90.00°, 90.00° and 90.00°. The asymmetric unit holds Mn at (0.000, 0.000, 0.000), Be at (0.500, 0.500, 0.500) and H at (0.000, 0.500, 0.500).

The value obtained for the offset from the most stable computed form is 400.5 meV per atom.

# 3
CrB2HW | GGA-PBE | optimized geometry

The structure belongs to space group P4/mmm (No. 123); the cell edges are 4.155, 4.155 and 4.832 Å and the angles 90.00°, 90.00° and 90.00°. The asymmetric unit holds Cr at (0.000, 0.000, 0.000), B at (0.000, 0.500, 0.500), H at (0.500, 0.500, 0.000) and W at (0.000, 0.000, 0.500).

# 4
BeFe2Re | GGA-PBE | optimized geometry

The structure belongs to space group P4/mmm (No. 123); the cell edges are 3.414, 3.414 and 3.968 Å and the angles 90.00°, 90.00° and 90.00°. The asymmetric unit holds Be at (0.000, 0.000, 0.000), Fe at (0.000, 0.500, 0.500) and Re at (0.500, 0.500, 0.000).

As for the formation energy: 0.07 eV/atom.

# 5
Li2SiPd4 | GGA-PBE | optimized geometry

The structure belongs to space group I4/mmm (No. 139); the cell edges are 4.496, 4.496 and 12.620 Å and the angles 90.00°, 90.00° and 90.00°. The asymmetric unit holds Li at (0.000, 0.000, 0.121), Si at (0.000, 0.000, 0.500), Pd at (0.000, 0.000, 0.321) and Pd at (0.000, 0.500, 0.000).

The value obtained for the offset from the most stable computed form is 374.8 meV per atom. As for the formation energy without anion corrections: -0.12 eV per atom.

# 6
Dy2MnGa3Ir4 | GGA-PBE | optimized geometry

The structure belongs to space group P-4m2 (No. 115); the cell edges are 4.100, 4.100 and 10.776 Å and the angles 90.00°, 90.00° and 90.00°. The asymmetric unit holds Dy at (0.000, 0.500, 0.241), Mn at (0.000, 0.000, 0.500), Ga at (0.000, 0.500, 0.869), Ga at (0.500, 0.500, 0.500), Ir at (0.000, 0.000, 0.000), Ir at (0.000, 0.500, 0.641) and Ir at (0.500, 0.500, 0.000).

As for the formation energy: -0.62 eV/atom.

It is found that the electronic total energy values, taken in the order of the records, are -5.083, -4.146, -5.918, -8.203, -4.412, -6.911 eV per atom.